(1)
Compound: K4CdO2
Source: the Alexandria database
Functional: GGA-PBE
Structure: optimized geometry

Properties
Calculated density   2.51 g cm⁻³
Excess energy over the best structure of this formula in the dataset   0.0 meV per atom

Cell lengths 4.2279, 4.2279, 38.6257 Å; angles 90.00, 90.00, 120.00 degrees
Space group R-3m (No. 166, hexagonal axes)
Unique sites:
K 0.0000 0.0000 0.0863 [6 per cell]
K 0.0000 0.0000 0.3050 [6 per cell]
Cd 0.0000 0.0000 0.5000 [3 per cell]
O 0.0000 0.0000 0.3877 [6 per cell]

***

(2)
Compound: PPd6S
Source: the Alexandria database
Functional: GGA-PBE
Structure: optimized geometry

Properties
Calculated density   9.09 g cm⁻³
E   -5.330 eV/atom

Cell lengths 5.7582, 5.7582, 13.3882 Å; angles 90.00, 90.00, 120.00 degrees
Space group R-3 (No. 148, hexagonal axes)
Unique sites:
P 0.0000 0.0000 0.0000 [3 per cell]
Pd 0.0045 0.2977 0.7481 [18 per cell]
S 0.0000 0.0000 0.5000 [3 per cell]

***

no.,total moment (μB per formula unit)
1,0.2
2,0.0